Record 1
Computed, not measured: crystalline CeHf4Rh5 at its relaxed geometry at the PBE level of DFT.

Cell and atoms, written as extended XYZ:
```
10
Lattice="-0.833 3.173 -0.004 -1.270 -0.329 3.007 15.000 3.949 6.766" Properties=species:S:1:pos:R:3 pbc="T T T"
Rh 9.274 4.141 6.159
Rh 6.449 3.397 4.884
Rh 12.061 4.874 7.415
Rh 0.837 1.919 2.353
Hf 8.938 2.353 4.031
Hf 3.151 0.830 1.421
Rh 3.623 2.653 3.610
Hf 6.062 1.596 2.734
Hf 11.849 3.120 5.344
Ce 0.000 0.000 0.000
```

Results
formation energy from the elements: -0.861 eV/atom
size of the total moment: 0.15 Bohr magnetons per cell

Record 2
Computed, not measured: crystalline LiYRh at its relaxed geometry at the PBE level of DFT.

Cell and atoms, written as extended XYZ:
```
3
Lattice="-3.168 2.668 1.945 -0.502 0.012 4.548 1.272 3.660 2.432" Properties=species:S:1:pos:R:3 pbc="T T T"
Li 0.000 0.000 0.000
Y -1.798 4.755 6.694
Rh -1.199 3.170 4.463
```

Results
formation energy from the elements: 0.136 eV/atom
size of the total moment: 0.00 Bohr magnetons per cell

Record 3
Computed, not measured: crystalline Rb8Au2SeO at its relaxed geometry at the PBE level of DFT.

Cell and atoms, written as extended XYZ:
```
12
Lattice="-1.857 -7.656 0.843 7.253 -1.597 2.684 -2.975 1.718 9.058" Properties=species:S:1:pos:R:3 pbc="T T T"
Se -1.487 0.859 4.529
Rb -0.857 -6.281 3.109
O 0.000 0.000 0.000
Rb 4.990 -2.242 4.262
Rb 4.107 -6.899 2.657
Rb -1.686 -0.636 9.928
Au 2.025 -4.238 3.813
Rb 0.046 -1.925 5.561
Au 0.396 -3.297 8.772
Rb 3.278 -1.253 9.476
Rb 2.374 -5.610 7.024
Rb -2.569 -5.292 8.323
```

Results
size of the total moment: 0.00 Bohr magnetons per cell
formation energy from raw total energies: -6.7 eV/f.u.

Record 4
Computed, not measured: crystalline Pm4BiIr at its relaxed geometry at the PBE level of DFT.

Cell and atoms, written as extended XYZ:
```
12
Lattice="6.180 -0.368 0.000 -2.033 8.517 0.000 -2.073 -4.075 7.003" Properties=species:S:1:pos:R:3 pbc="T T T"
Pm 3.055 -1.122 2.452
Pm 2.039 3.136 4.551
Pm 3.961 5.833 1.009
Pm -1.888 -1.758 5.993
Ir 4.635 -0.276 0.000
Pm 3.276 2.133 1.009
Bi 0.528 4.167 1.747
Pm -1.202 1.942 5.993
Pm 0.035 0.939 2.452
Ir -2.562 4.350 7.002
Pm -0.982 5.197 4.551
Bi 1.545 -0.092 5.256
```

Results
formation energy from the elements: -0.564 eV/atom
size of the total moment: 0.00 Bohr magnetons per cell

Record 5
Computed, not measured: crystalline ErMg9Zn3 at its relaxed geometry at the PBE level of DFT.

Cell and atoms, written as extended XYZ:
```
13
Lattice="-2.084 4.693 -2.349 1.189 0.065 -7.354 -7.110 -0.853 -2.184" Properties=species:S:1:pos:R:3 pbc="T T T"
Zn -3.555 -0.427 -1.092
Zn -0.447 2.379 -4.852
Mg -6.385 1.738 -4.442
Mg -3.474 2.783 -4.803
Mg -4.203 -0.497 -3.924
Er 0.000 0.000 0.000
Mg -3.802 4.402 -7.963
Mg -4.531 1.122 -7.084
Zn -4.597 1.920 -2.266
Mg -6.102 2.699 -9.191
Mg -1.620 2.167 -7.444
Mg 0.595 0.032 -3.677
Mg -1.903 1.206 -2.696
```

Results
formation energy from the elements: -0.084 eV/atom
size of the total moment: 0.00 Bohr magnetons per cell

Record 6
Computed, not measured: crystalline CsCd6Au2 at its relaxed geometry at the PBE level of DFT.

Cell and atoms, written as extended XYZ:
```
9
Lattice="-1.435 -0.691 -4.716 -6.384 -1.871 3.209 -3.737 6.255 1.213" Properties=species:S:1:pos:R:3 pbc="T T T"
Au -3.391 1.126 0.085
Cd -5.318 3.259 -0.494
Cd -7.207 4.386 1.716
Cd -3.446 2.078 -2.690
Au -8.164 2.567 -0.378
Cd -6.238 0.435 0.200
Cs -1.435 -0.691 -4.716
Cd -8.110 1.615 2.397
Cd -4.348 -0.693 -2.010
```

Results
formation energy from the elements: -0.072 eV/atom
size of the total moment: 0.00 Bohr magnetons per cell

Let's list DFT total energy in order: -9.111; -5.107; -2.455; -5.855; -1.833; -1.505 eV/atom.